# 1
Pr14SmAl | GGA-PBE | optimized geometry

Cell: 10.2858 10.3475 10.3527 Å, 90.00 90.00 90.00°
With the nearest neighbours (Å) after each atom.
Space group Amm2 (No. 38)
Inequivalent atoms, fractional coordinates:
Pr 0.0000 0.0000 0.0000 (multiplicity 2)  12 Pr 3.66-3.67
Pr 0.0000 0.0000 0.5002 (multiplicity 2)  12 Pr 3.66-3.77
Pr 0.0000 0.2494 0.2501 (multiplicity 4)  12 Pr 3.66-3.72
Pr 0.2585 0.0000 0.7569 (multiplicity 4)  1 Al 3.53, 10 Pr 3.56-3.76, 1 Sm 3.64
Pr 0.2591 0.2433 0.0001 (multiplicity 8)  1 Al 3.53, 10 Pr 3.56-3.76, 1 Sm 3.63
Pr 0.2598 0.0000 0.2433 (multiplicity 4)  1 Al 3.53, 10 Pr 3.56-3.77, 1 Sm 3.63
Pr 0.5000 0.2490 0.7503 (multiplicity 4)  8 Pr 3.58-3.59, 2 Al 3.65-3.67, 2 Sm 3.65-3.67
Sm 0.5000 0.0000 0.5001 (multiplicity 2)  12 Pr 3.63-3.67
Al 0.5000 0.0000 0.9996 (multiplicity 2)  12 Pr 3.53-3.67

Calculated values
raw total energy = -151.0 eV/cell
magnetic moment = 0.00 μB per atom
energy of formation from the pure elements = -8 meV/atom
crystal system = orthorhombic

=====

# 2
Pr3Sm4Al | GGA-PBE | optimized geometry

Cell: 3.6499 3.6499 19.6088 Å, 90.00 90.00 90.00°
With the nearest neighbours (Å) after each atom.
Space group P4/mmm (No. 123)
Inequivalent atoms, fractional coordinates:
Pr 0.0000 0.0000 0.0000 (multiplicity 1)  4 Pr 3.65, 8 Sm 3.69
Pr 0.0000 0.0000 0.2679 (multiplicity 2)  4 Pr 3.65, 8 Sm 3.68-3.71
Sm 0.5000 0.5000 0.1341 (multiplicity 2)  4 Sm 3.65, 8 Pr 3.68-3.69
Sm 0.5000 0.5000 0.4037 (multiplicity 2)  4 Al 3.20
Al 0.0000 0.0000 0.5000 (multiplicity 1)  8 Sm 3.20

Calculated values
raw total energy = -37.5 eV/cell
magnetic moment = 0.00 μB per atom
offset from the most stable computed form = 0.00 eV per formula unit
energy of formation from the pure elements = -73 meV/atom
crystal system = tetragonal

=====

# 3
Pr6SmAl | GGA-PBE | optimized geometry

Cell: 6.4996 6.5056 6.5097 Å, 94.43 94.53 94.62°
With the nearest neighbours (Å) after each atom.
Space group P-1 (No. 2)
Inequivalent atoms, fractional coordinates:
Pr 0.0383 0.2635 0.0645 (multiplicity 2)  1 Al 3.16, 2 Pr 3.32-3.45
Pr 0.2363 0.9365 0.4608 (multiplicity 2)  1 Al 3.16, 2 Pr 3.31-3.45
Pr 0.4366 0.4606 0.7365 (multiplicity 2)  1 Al 3.16, 2 Pr 3.32-3.45
Sm 0.5000 0.0000 0.0000 (multiplicity 1)  12 Pr 3.60-3.76
Al 0.0000 0.5000 0.5000 (multiplicity 1)  6 Pr 3.16

Calculated values
raw total energy = -36.9 eV/cell
magnetic moment = 0.00 μB per atom
offset from the most stable computed form = 0.69 eV per formula unit
energy of formation from the pure elements = 29 meV/atom
crystal system = triclinic